(1)
Ba8Sb4I3 after structural relaxation. Source: the Alexandria database, functional PBE.

Geometry as CIF:
```
data_Ba8Sb4I3
_space_group_name_H-M_alt 'C 1 2/m 1'
_space_group_IT_number 12
_cell_length_a 14.207
_cell_length_b 14.406
_cell_length_c 10.046
_cell_angle_alpha 90.00
_cell_angle_beta 134.63
_cell_angle_gamma 90.00
loop_
_space_group_symop_operation_xyz
'x,y,z'
'-x,-y,-z'
'-x,y,-z'
'x,-y,z'
'x+1/2,y+1/2,z'
'-x+1/2,-y+1/2,-z'
'-x+1/2,y+1/2,-z'
'x+1/2,-y+1/2,z'
loop_
_atom_site_label
_atom_site_fract_x
_atom_site_fract_y
_atom_site_fract_z
Ba1 0.000 0.238 0.000
Ba2 0.000 0.261 0.500
Ba3 0.248 0.500 0.985
Ba4 0.249 0.000 0.473
Sb1 0.000 0.000 0.000
Sb2 0.000 0.500 0.500
Sb3 0.250 0.250 0.000
I1 0.000 0.000 0.500
I2 0.250 0.250 0.500
```

Calculated values
- Formation energy (no corrections): -1222 meV per atom

(2)
Ba2Sb2I after structural relaxation. Source: the Alexandria database, functional PBE.

Geometry as CIF:
```
data_Ba2Sb2I
_space_group_name_H-M_alt 'P 4/m b m'
_space_group_IT_number 127
_space_group_name_Hall '-P 4 2ab'
_cell_length_a 9.553
_cell_length_b 9.553
_cell_length_c 4.618
_cell_angle_alpha 90.00
_cell_angle_beta 90.00
_cell_angle_gamma 90.00
loop_
_atom_site_label
_atom_site_fract_x
_atom_site_fract_y
_atom_site_fract_z
Ba1 0.183 0.317 0.000
Sb1 0.103 0.603 0.500
I1 0.000 0.000 0.000
```

Calculated values
- Formation energy (no corrections): -1055 meV per atom
- Distance to the lowest polymorph of the same formula: 0.053 eV/atom